# 1
! Nd11Y9Sc4 | the Alexandria database | PBE-GGA | optimized geometry; values from VASP
&SYSTEM
  ibrav = 0, nat = 24, ntyp = 3
/
ATOMIC_SPECIES
Nd 144.24 Nd.upf
Y 88.91 Y.upf
Sc 44.96 Sc.upf
ATOMIC_POSITIONS angstrom
Nd 0.0000 8.3802 11.0505
Nd 0.0000 5.7379 -1.7307
Nd 0.0000 13.4547 3.3634
Nd 0.0000 0.6634 5.9564
Nd 0.0000 8.8811 1.8997
Nd 0.0000 5.2370 7.4200
Nd 0.0000 11.8582 -2.6102
Nd 0.0000 2.2599 11.9299
Nd 0.0000 0.0000 0.0000
Nd 0.0000 9.8983 6.5341
Nd 0.0000 4.2199 2.7856
Y 1.8074 8.8686 -1.2282
Y 1.8074 5.2496 10.5480
Y 1.8074 2.3558 8.6377
Y 1.8074 11.7623 0.6820
Y 1.8074 11.0508 9.5033
Y 1.8074 3.0673 -0.1836
Y 1.8074 13.0816 6.4271
Y 1.8074 1.0366 2.8927
Y 1.8074 7.0591 4.6599
Sc 1.8074 7.8285 8.2941
Sc 1.8074 6.2896 1.0256
Sc 1.8074 10.7033 3.9392
Sc 1.8074 3.4148 5.3805
CELL_PARAMETERS angstrom
3.6148 0.0000 0.0000
0.0000 14.1059 -6.0151
0.0000 0.0122 15.3349
! **Density**: 5449 kg/m3
! **Volume**: 782 Å³/f.u.
! **DOS(E_F)**: 1.337 states/eV per atom
! **Space group**: Cmmm (65)
! **Total DFT energy (no corrections)**: -5.6182 eV/atom

=====

# 2
! Nd4Y3Sc | the Alexandria database | PBE-GGA | optimized geometry; values from VASP
&SYSTEM
  ibrav = 0, nat = 8, ntyp = 3
/
ATOMIC_SPECIES
Nd 144.24 Nd.upf
Y 88.91 Y.upf
Sc 44.96 Sc.upf
ATOMIC_POSITIONS angstrom
Nd 1.8062 -1.2236 3.3370
Nd 0.0000 1.3460 8.7087
Nd 1.8062 -1.6211 9.5956
Nd 0.0000 1.7435 2.4500
Y 0.0000 3.0009 -0.8439
Y 0.0000 -1.4367 6.4549
Y 1.8062 1.5591 5.5908
Sc 1.8062 0.0000 0.0000
CELL_PARAMETERS angstrom
3.6124 0.0000 0.0000
0.0000 6.0017 -1.6878
-1.8062 -5.8794 13.7335
! **Density**: 5634 kg/m3
! **Volume**: 262 Å³/f.u.
! **DOS(E_F)**: 1.385 states/eV per atom
! **E above lowest polymorph**: 0.0 kJ/mol of formula units
! **Space group**: C2/m (12)
! **Total DFT energy (no corrections)**: -5.5554 eV/atom

=====

# 3
! NdYSc | the Alexandria database | PBE-GGA | optimized geometry; values from VASP
&SYSTEM
  ibrav = 0, nat = 3, ntyp = 3
/
ATOMIC_SPECIES
Y 88.91 Y.upf
Sc 44.96 Sc.upf
Nd 144.24 Nd.upf
ATOMIC_POSITIONS angstrom
Y -0.0106 0.4629 -0.3255
Sc -1.8983 1.9331 1.8136
Nd -3.2338 1.6197 -1.5515
CELL_PARAMETERS angstrom
-0.0638 2.7940 -1.9652
-4.4949 -1.9499 -2.6263
-0.5840 3.1715 4.5281
! **Density**: 5051 kg/m3
! **Volume**: 91 Å³/f.u.
! **DOS(E_F)**: 1.651 states/eV per atom
! **E above lowest polymorph**: 9.6 kJ/mol of formula units
! **Space group**: P3m1 (156)
! **Total DFT energy (no corrections)**: -5.7673 eV/atom

=====

# 4
! Nd2Y9Sc | the Alexandria database | PBE-GGA | optimized geometry; values from VASP
&SYSTEM
  ibrav = 0, nat = 12, ntyp = 3
/
ATOMIC_SPECIES
Nd 144.24 Nd.upf
Y 88.91 Y.upf
Sc 44.96 Sc.upf
ATOMIC_POSITIONS angstrom
Nd 0.0000 0.0000 5.0096
Nd 0.0000 0.0000 10.1020
Y 2.5244 2.5244 0.0000
Y 2.5244 2.5244 4.9817
Y 2.5244 2.5244 10.1299
Y 2.5244 0.0000 2.4223
Y 2.5244 0.0000 7.5558
Y 2.5244 0.0000 12.6893
Y 0.0000 2.5244 2.4223
Y 0.0000 2.5244 7.5558
Y 0.0000 2.5244 12.6893
Sc 0.0000 0.0000 0.0000
CELL_PARAMETERS angstrom
5.0489 0.0000 0.0000
0.0000 5.0489 0.0000
0.0000 0.0000 15.1116
! **Density**: 4887 kg/m3
! **Volume**: 385 Å³/f.u.
! **DOS(E_F)**: 1.572 states/eV per atom
! **Space group**: P4/mmm (123)
! **Total DFT energy (no corrections)**: -6.1366 eV/atom

=====

# 5
! NdY6Sc2 | the Alexandria database | PBE-GGA | optimized geometry; values from VASP
&SYSTEM
  ibrav = 0, nat = 9, ntyp = 3
/
ATOMIC_SPECIES
Nd 144.24 Nd.upf
Y 88.91 Y.upf
Sc 44.96 Sc.upf
ATOMIC_POSITIONS angstrom
Nd 1.7642 0.0000 0.0000
Y 0.0000 6.6317 0.0000
Y 0.0000 1.4621 2.5324
Y 0.0000 -3.3158 5.7432
Y 1.7642 -1.7767 3.0774
Y 1.7642 3.0012 5.1983
Y 1.7642 3.5535 0.0000
Sc 0.0000 4.7780 2.7585
Sc 0.0000 0.0000 5.5171
CELL_PARAMETERS angstrom
3.5284 0.0000 0.0000
0.0000 9.5559 0.0000
0.0000 -4.7779 8.2756
! **Density**: 4568 kg/m3
! **Volume**: 279 Å³/f.u.
! **DOS(E_F)**: 2.069 states/eV per atom
! **E above lowest polymorph**: 0.0 kJ/mol of formula units
! **Space group**: P-62m (189)
! **Total DFT energy (no corrections)**: -6.1944 eV/atom

=====

# 6
! Nd3Y2Sc2 | the Alexandria database | PBE-GGA | optimized geometry; values from VASP
&SYSTEM
  ibrav = 0, nat = 7, ntyp = 3
/
ATOMIC_SPECIES
Nd 144.24 Nd.upf
Y 88.91 Y.upf
Sc 44.96 Sc.upf
ATOMIC_POSITIONS angstrom
Nd -1.4305 -0.6810 3.1418
Nd 0.0000 0.0000 0.0000
Nd -1.1889 3.1905 9.9731
Y 0.1545 0.4431 6.0913
Y -2.7740 2.0663 7.0236
Sc -2.8140 -1.3550 6.3265
Sc 0.1945 3.8645 6.7883
CELL_PARAMETERS angstrom
-4.4046 0.9693 4.0961
-1.5210 -4.1188 2.3851
3.3061 5.6589 6.6337
! **Density**: 5342 kg/m3
! **Volume**: 218 Å³/f.u.
! **DOS(E_F)**: 1.563 states/eV per atom
! **E above lowest polymorph**: 0.0 kJ/mol of formula units
! **Space group**: C2/m (12)
! **Total DFT energy (no corrections)**: -5.6497 eV/atom

=====

# 7
! Nd3YSc | the Alexandria database | PBE-GGA | optimized geometry; values from VASP
&SYSTEM
  ibrav = 0, nat = 10, ntyp = 3
/
ATOMIC_SPECIES
Nd 144.24 Nd.upf
Y 88.91 Y.upf
Sc 44.96 Sc.upf
ATOMIC_POSITIONS angstrom
Nd -1.7108 4.4382 1.8653
Nd -2.7141 -1.3696 0.9939
Nd -0.5904 1.5699 0.6352
Nd -5.6242 1.6898 4.7950
Nd -6.7445 4.5581 6.0251
Nd -4.6209 7.4976 5.6665
Y -4.2749 6.9484 2.0914
Y -3.0601 -0.8204 4.5689
Sc -3.5200 4.3835 4.5067
Sc -3.8150 1.7445 2.1537
CELL_PARAMETERS angstrom
-2.9238 -0.2847 -2.0093
-1.7187 -5.2154 6.3900
-2.6925 11.6281 2.2797
! **Density**: 5805 kg/m3
! **Volume**: 162 Å³/f.u.
! **DOS(E_F)**: 1.558 states/eV per atom
! **E above lowest polymorph**: 0.0 kJ/mol of formula units
! **Space group**: C2/m (12)
! **Total DFT energy (no corrections)**: -5.3661 eV/atom

=====

# 8
! Nd4YSc | the Alexandria database | PBE-GGA | optimized geometry; values from VASP
&SYSTEM
  ibrav = 0, nat = 6, ntyp = 3
/
ATOMIC_SPECIES
Nd 144.24 Nd.upf
Y 88.91 Y.upf
Sc 44.96 Sc.upf
ATOMIC_POSITIONS angstrom
Nd 4.2864 2.7340 0.6469
Nd 7.9037 5.0413 6.3286
Nd 10.3808 6.6212 4.1329
Nd 1.8093 1.1541 2.8426
Y 6.0950 3.8876 3.4878
Sc 0.0000 0.0000 0.0000
CELL_PARAMETERS angstrom
7.7354 1.9130 0.9594
4.9962 6.2076 0.9594
-0.5415 -0.3454 5.0568
! **Density**: 5973 kg/m3
! **Volume**: 198 Å³/f.u.
! **DOS(E_F)**: 1.589 states/eV per atom
! **E above lowest polymorph**: 0.0 kJ/mol of formula units
! **Space group**: Cmmm (65)
! **Total DFT energy (no corrections)**: -5.2705 eV/atom

=====

# 9
! Nd7Y2Sc2 | the Alexandria database | PBE-GGA | optimized geometry; values from VASP
&SYSTEM
  ibrav = 0, nat = 11, ntyp = 3
/
ATOMIC_SPECIES
Nd 144.24 Nd.upf
Y 88.91 Y.upf
Sc 44.96 Sc.upf
ATOMIC_POSITIONS angstrom
Nd 1.5470 -0.3714 3.6438
Nd 6.8359 2.0989 7.2086
Nd 6.8359 6.0124 4.4966
Nd 1.5470 3.5421 0.9319
Nd 0.0000 0.0000 0.0000
Nd 4.1794 4.2391 6.1173
Nd 4.2035 1.4019 2.0231
Y 6.7295 2.7086 3.9087
Y 1.6534 2.9324 4.2317
Sc 4.1914 0.9262 5.3829
Sc 4.1914 4.7148 2.7575
CELL_PARAMETERS angstrom
8.0597 0.8359 1.2062
0.1616 6.8774 0.3662
0.1616 -2.0722 6.5680
! **Density**: 5770 kg/m3
! **Volume**: 368 Å³/f.u.
! **DOS(E_F)**: 1.511 states/eV per atom
! **E above lowest polymorph**: 0.0 kJ/mol of formula units
! **Space group**: C2/m (12)
! **Total DFT energy (no corrections)**: -5.2226 eV/atom

=====

# 10
! Nd2YSc | the Alexandria database | PBE-GGA | optimized geometry; values from VASP
&SYSTEM
  ibrav = 0, nat = 4, ntyp = 3
/
ATOMIC_SPECIES
Nd 144.24 Nd.upf
Y 88.91 Y.upf
Sc 44.96 Sc.upf
ATOMIC_POSITIONS angstrom
Nd 5.4255 -2.9629 6.4441
Nd 2.1611 -2.1810 1.5430
Y 4.4573 -4.3943 3.2888
Sc 8.2319 -6.9618 7.2542
CELL_PARAMETERS angstrom
-0.4057 -3.5388 -0.2944
2.3592 -1.9191 -1.8776
6.9382 -3.3253 8.7152
! **Density**: 5541 kg/m3
! **Volume**: 127 Å³/f.u.
! **DOS(E_F)**: 1.499 states/eV per atom
! **E above lowest polymorph**: 6.6 kJ/mol of formula units
! **Space group**: R3m (160)
! **Total DFT energy (no corrections)**: -5.5265 eV/atom

=====

# 11
! Nd4YSc | the Alexandria database | PBE-GGA | optimized geometry; values from VASP
&SYSTEM
  ibrav = 0, nat = 6, ntyp = 3
/
ATOMIC_SPECIES
Nd 144.24 Nd.upf
Y 88.91 Y.upf
Sc 44.96 Sc.upf
ATOMIC_POSITIONS angstrom
Nd -8.2100 2.5416 6.4607
Nd -2.9301 -1.2094 1.2553
Nd -2.6151 2.2043 2.6550
Nd -8.5250 -0.8720 5.0610
Y -5.5701 0.6661 3.8580
Sc 0.0000 0.0000 0.0000
CELL_PARAMETERS angstrom
-5.8213 0.3771 0.3904
-2.9742 -4.3718 3.6529
-2.3446 5.3270 3.6726
! **Density**: 5978 kg/m3
! **Volume**: 197 Å³/f.u.
! **DOS(E_F)**: 1.740 states/eV per atom
! **E above lowest polymorph**: 38.9 kJ/mol of formula units
! **Space group**: C2/m (12)
! **Total DFT energy (no corrections)**: -5.2033 eV/atom

=====

# 12
! Nd3YSc | the Alexandria database | PBE-GGA | optimized geometry; values from VASP
&SYSTEM
  ibrav = 0, nat = 20, ntyp = 3
/
ATOMIC_SPECIES
Nd 144.24 Nd.upf
Y 88.91 Y.upf
Sc 44.96 Sc.upf
ATOMIC_POSITIONS angstrom
Nd 4.7592 12.0806 6.3383
Nd 2.2037 3.8676 0.4367
Nd 0.3234 4.3728 5.4516
Nd 6.6396 11.5753 1.3234
Nd 7.6816 13.2566 8.0253
Nd 4.2455 8.5874 5.7879
Nd -1.1811 2.8158 -0.0168
Nd -0.5808 8.2470 9.7834
Nd 5.6634 8.2064 2.0065
Nd 6.2637 13.6376 11.8068
Nd 0.8371 7.8660 6.0020
Nd -2.5990 3.1967 3.7646
Y 7.3492 13.7368 4.2572
Y 2.1829 10.4112 8.4259
Y -2.2666 2.7166 7.5327
Y 2.8997 6.0421 3.3640
Sc -0.2002 4.9876 2.3079
Sc -1.5724 6.0853 7.4537
Sc 5.2827 11.4658 9.4820
Sc 6.6550 10.3681 4.3362
CELL_PARAMETERS angstrom
-2.4124 2.3208 -1.1384
-3.7608 1.0105 10.0298
11.2558 13.1221 2.8985
! **Density**: 5643 kg/m3
! **Volume**: 167 Å³/f.u.
! **DOS(E_F)**: 1.526 states/eV per atom
! **E above lowest polymorph**: 46.1 kJ/mol of formula units
! **Space group**: Pbcm (57)
! **Total DFT energy (no corrections)**: -5.2706 eV/atom